# 1
DFT (GGA-PBE) results for a relaxed NaTl2InSn crystal.

Computed properties:
energy of formation	-0.022	eV/atom

abc: 3.569 15.641 10.744
angles: 90.00 90.00 90.00
Space group Cmcm (No. 63)
Symmetry-distinct sites (fractional):
Na1 0.000 0.150 0.250
Tl1 0.000 0.188 0.599
In1 0.000 0.000 0.000
Sn1 0.000 0.466 0.250

# 2
DFT (GGA-PBE) results for a relaxed Tl2Rh2PbO6 crystal.

Computed properties:
energy relative to the elements, uncorrected	-8.377	eV per formula unit

abc: 5.651 9.837 6.706
angles: 90.00 107.22 90.00
Space group C2/m (No. 12)
Symmetry-distinct sites (fractional):
Tl1 0.000 0.169 0.000
Rh1 0.000 0.334 0.500
Pb1 0.000 0.000 0.500
O1 0.196 0.500 0.661
O2 0.236 0.181 0.662

# 3
DFT (GGA-PBE) results for a relaxed CdCu2W crystal.

Computed properties:
energy of formation	0.243	eV/atom

abc: 2.782 2.782 7.780
angles: 90.00 90.00 90.00
Space group P4/mmm (No. 123)
Symmetry-distinct sites (fractional):
Cd1 0.000 0.000 0.000
Cu1 0.500 0.500 0.262
W1 0.000 0.000 0.500

Calculated mass density, 7.4; 8.6; 11.7 g/cm³ (same order as the records).